This record from Alexandria via LeMat-Bulk describes crystalline Pm2NdGeN4 at its relaxed geometry. The functional is GGA-PBE.

Cell lengths 3.6155, 6.1165, 11.9916 Å; angles 90.00, 90.00, 107.19 degrees
Closest atoms and distances in Å follow each position.
Atoms (fractional coordinates):
N  0.2728  0.5455  0.3685  1 Ge 1.90
Pm  0.3694  0.7388  0.9557  6 N 2.39-2.67
Pm  0.6306  0.2612  0.4557  6 N 2.39-2.67
N  0.0000  0.0000  0.5000  4 Pm 2.42
Nd  0.8987  0.7975  0.2500  6 N 2.73-2.78
Pm  0.3694  0.7388  0.5443  6 N 2.39-2.67
N  0.2728  0.5455  0.1315  1 Ge 1.90
N  0.7272  0.4545  0.8685  1 Ge 1.90
Ge  0.8353  0.6705  0.7500  4 N 1.90-2.07
N  0.0000  0.0000  0.0000  4 Pm 2.42
N  0.5790  0.1581  0.2500  2 Ge 2.07
Nd  0.1013  0.2025  0.7500  6 N 2.73-2.78
Ge  0.1647  0.3295  0.2500  4 N 1.90-2.07
N  0.7272  0.4545  0.6315  1 Ge 1.90
N  0.4210  0.8419  0.7500  2 Ge 2.07
Pm  0.6306  0.2612  0.0443  6 N 2.39-2.67

As for the space-group type: Cmcm. The total DFT energy (no corrections) comes out at -7.460 eV/atom. The magnetic moment is 0.00 μB/atom. The density comes out at 7.38 g cm⁻³.